A plane-wave DFT calculation with GGA-PBE was carried out for crystalline YGaH2O4 at its relaxed geometry.

Unit cell a=4.567 b=4.668 c=4.668 alpha=72.30 beta=60.71 gamma=60.71
Sites, in units of the cell vectors:
O1 0.023 0.829 0.555
O2 0.977 0.445 0.171
O3 0.593 0.555 0.829
O4 0.407 0.171 0.445
Ga1 0.500 0.500 0.500
H1 0.185 0.315 0.315
H2 0.815 0.685 0.685
Y1 0.000 0.000 0.000

## Properties
Energy = -6.44 eV/atom
SG = I222
Magnetization = 0.0 μB per formula unit

***

A plane-wave DFT calculation with GGA-PBE was carried out for crystalline GaHOs2 at its relaxed geometry.

Unit cell a=4.116 b=4.116 c=4.116 alpha=60.00 beta=60.00 gamma=60.00
Sites, in units of the cell vectors:
Os1 0.750 0.750 0.750
Os2 0.250 0.250 0.250
Ga1 0.500 0.500 0.500
H1 0.000 0.000 0.000

## Properties
SG = Fm-3m
Magnetization = 0.0 μB per formula unit
Offset from the most stable computed form = 535.3 meV/atom

***

A plane-wave DFT calculation with GGA-PBE was carried out for crystalline Ga2H6Os at its relaxed geometry.

Unit cell a=4.674 b=4.674 c=4.674 alpha=60.00 beta=60.00 gamma=60.00
Sites, in units of the cell vectors:
H1 0.264 0.736 0.264
H2 0.264 0.736 0.736
H3 0.736 0.264 0.264
H4 0.736 0.264 0.736
H5 0.264 0.264 0.736
H6 0.736 0.736 0.264
Os1 0.000 0.000 0.000
Ga1 0.750 0.750 0.750
Ga2 0.250 0.250 0.250

## Properties
Energy = -3.97 eV/atom
SG = Fm-3m
Magnetization = 0.0 μB per formula unit

***

A plane-wave DFT calculation with GGA-PBE was carried out for crystalline GaHOs3 at its relaxed geometry.

Unit cell a=3.933 b=3.933 c=3.933 alpha=90.00 beta=90.00 gamma=90.00
Sites, in units of the cell vectors:
Os1 0.500 0.000 0.000
Os2 0.000 0.500 0.000
Os3 0.000 0.000 0.500
H1 0.000 0.000 0.000
Ga1 0.500 0.500 0.500

## Properties
SG = Pm-3m
Magnetization = 0.0 μB per formula unit
Offset from the most stable computed form = 0.0 meV/atom